Entry 1:
First-principles (PBE) data for a relaxed structure of Nd2DyTmTl4, as listed in Alexandria.

a b c (Å): 9.4277 9.4277 9.4277
angles (deg): 33.47 33.47 33.47
Last column: nearest neighbours and their distance in Å.
Fractional positions:
Nd (0.2505, 0.2505, 0.2505)  8 Tl 3.31-3.35
Nd (0.7495, 0.7495, 0.7495)  8 Tl 3.31-3.35
Dy (0.5000, 0.5000, 0.5000)  8 Tl 3.33-3.34
Tm (0.0000, 0.0000, 0.0000)  8 Tl 3.32-3.33
Tl (0.1247, 0.1247, 0.1247)  1 Tm 3.33, 4 Nd 3.33-3.35, 3 Dy 3.33
Tl (0.3747, 0.3747, 0.3747)  4 Nd 3.31-3.32, 3 Tm 3.32, 1 Dy 3.34
Tl (0.6253, 0.6253, 0.6253)  4 Nd 3.31-3.32, 3 Tm 3.32, 1 Dy 3.34
Tl (0.8753, 0.8753, 0.8753)  1 Tm 3.33, 4 Nd 3.33-3.35, 3 Dy 3.33

energy of formation: -0.35 eV/atom
total moment: 0.000 μB per atom

***

Entry 2:
First-principles (PBE) data for a relaxed structure of NdDyTm2Tl4, as listed in Alexandria.

a b c (Å): 9.3465 9.3465 9.3465
angles (deg): 33.42 33.42 33.42
Last column: nearest neighbours and their distance in Å.
Fractional positions:
Nd (0.0000, 0.0000, 0.0000)  8 Tl 3.31-3.34
Dy (0.5000, 0.5000, 0.5000)  8 Tl 3.26-3.28
Tm (0.2495, 0.2495, 0.2495)  8 Tl 3.25-3.36
Tm (0.7505, 0.7505, 0.7505)  8 Tl 3.25-3.36
Tl (0.1265, 0.1265, 0.1265)  4 Tm 3.25-3.30, 3 Dy 3.28, 1 Nd 3.34
Tl (0.3766, 0.3766, 0.3766)  1 Dy 3.26, 4 Tm 3.28-3.36, 3 Nd 3.31
Tl (0.6234, 0.6234, 0.6234)  1 Dy 3.26, 4 Tm 3.28-3.36, 3 Nd 3.31
Tl (0.8735, 0.8735, 0.8735)  4 Tm 3.25-3.30, 3 Dy 3.28, 1 Nd 3.34

energy of formation: -0.33 eV/atom
total moment: 0.000 μB per atom

***

Entry 3:
First-principles (PBE) data for a relaxed structure of Nd3Dy6Tm2Tl, as listed in Alexandria.

a b c (Å): 6.1616 6.1616 11.6266
angles (deg): 95.09 95.09 120.00
Last column: nearest neighbours and their distance in Å.
Fractional positions:
Nd (0.0000, 0.0000, 0.0000)  6 Nd 3.55-3.56, 6 Dy 3.59
Nd (0.3330, 0.6670, 0.0000)  6 Nd 3.55-3.56, 6 Dy 3.58-3.61
Nd (0.6670, 0.3330, 0.0000)  6 Nd 3.55-3.56, 6 Dy 3.58-3.61
Dy (0.0916, 0.4201, 0.2578)  1 Tl 3.43, 2 Tm 3.46, 6 Dy 3.51-3.58, 3 Nd 3.58-3.61
Dy (0.2512, 0.2512, 0.7437)  1 Tl 3.45, 2 Tm 3.46, 6 Dy 3.51-3.58, 3 Nd 3.58-3.59
Dy (0.4201, 0.0916, 0.2578)  1 Tl 3.43, 2 Tm 3.46, 6 Dy 3.51-3.58, 3 Nd 3.58-3.61
Dy (0.5799, 0.9084, 0.7422)  1 Tl 3.43, 2 Tm 3.46, 6 Dy 3.51-3.58, 3 Nd 3.58-3.61
Dy (0.7488, 0.7488, 0.2563)  1 Tl 3.45, 2 Tm 3.46, 6 Dy 3.51-3.58, 3 Nd 3.58-3.59
Dy (0.9084, 0.5799, 0.7422)  1 Tl 3.43, 2 Tm 3.46, 6 Dy 3.51-3.58, 3 Nd 3.58-3.61
Tm (0.1661, 0.8339, 0.5000)  6 Dy 3.46, 3 Tm 3.54-3.56, 3 Tl 3.55-3.56
Tm (0.8339, 0.1661, 0.5000)  6 Dy 3.46, 3 Tm 3.54-3.56, 3 Tl 3.55-3.56
Tl (0.5000, 0.5000, 0.5000)  6 Dy 3.43-3.45, 6 Tm 3.55-3.56

energy of formation: -0.01 eV/atom
total moment: 0.006 μB per atom

***

Entry 4:
First-principles (PBE) data for a relaxed structure of NdDyTmTl, as listed in Alexandria.

a b c (Å): 4.8265 4.8816 4.9370
angles (deg): 90.00 90.00 90.00
Last column: nearest neighbours and their distance in Å.
Fractional positions:
Nd (0.0000, 0.0000, 0.0000)  4 Dy 3.43, 4 Tm 3.45, 4 Tl 3.47
Dy (0.5000, 0.5000, 0.0000)  4 Nd 3.43, 4 Tl 3.45, 4 Tm 3.47
Tm (0.5000, 0.0000, 0.5000)  4 Tl 3.43, 4 Nd 3.45, 4 Dy 3.47
Tl (0.0000, 0.5000, 0.5000)  4 Tm 3.43, 4 Dy 3.45, 4 Nd 3.47

energy of formation: -0.18 eV/atom
total moment: 0.001 μB per atom

***

Entry 5:
First-principles (PBE) data for a relaxed structure of NdDyY2Tl2, as listed in Alexandria.

a b c (Å): 5.1415 10.0779 6.8754
angles (deg): 90.00 90.00 90.00
Last column: nearest neighbours and their distance in Å.
Fractional positions:
Nd (0.0000, 0.0441, 0.0000)  5 Tl 3.28-3.55, 2 Dy 3.53, 2 Nd 3.55
Nd (0.0000, 0.9559, 0.5000)  5 Tl 3.28-3.55, 2 Dy 3.53, 2 Nd 3.55
Dy (0.5000, 0.1911, 0.7218)  4 Tl 3.20-3.32, 2 Nd 3.53
Dy (0.5000, 0.8089, 0.2218)  4 Tl 3.20-3.32, 2 Nd 3.53
Y (0.0000, 0.3167, 0.3796)  4 Tl 3.18-3.25, 2 Y 3.52
Y (0.0000, 0.6833, 0.8796)  4 Tl 3.18-3.25, 2 Y 3.52
Y (0.5000, 0.4547, 0.0942)  5 Tl 3.23-3.55, 4 Y 3.52-3.56
Y (0.5000, 0.5453, 0.5942)  5 Tl 3.23-3.55, 4 Y 3.52-3.56
Tl (0.0000, 0.3685, 0.8387)  6 Y 3.18-3.55, 2 Dy 3.23, 1 Nd 3.45
Tl (0.0000, 0.6315, 0.3387)  6 Y 3.18-3.55, 2 Dy 3.23, 1 Nd 3.45
Tl (0.5000, 0.1370, 0.2628)  2 Dy 3.20-3.32, 3 Y 3.25-3.41, 4 Nd 3.28-3.55
Tl (0.5000, 0.8630, 0.7628)  2 Dy 3.20-3.32, 3 Y 3.25-3.41, 4 Nd 3.28-3.55

energy of formation: -0.29 eV/atom
total moment: 0.000 μB per atom

***

Entry 6:
First-principles (PBE) data for a relaxed structure of NdDyYTl, as listed in Alexandria.

a b c (Å): 7.8274 7.8274 7.8274
angles (deg): 90.00 90.00 90.00
Last column: nearest neighbours and their distance in Å.
Fractional positions:
Nd (0.0000, 0.0000, 0.0000)  4 Tl 3.39, 4 Dy 3.39
Nd (0.0000, 0.5000, 0.5000)  4 Tl 3.39, 4 Dy 3.39
Nd (0.5000, 0.0000, 0.5000)  4 Tl 3.39, 4 Dy 3.39
Nd (0.5000, 0.5000, 0.0000)  4 Tl 3.39, 4 Dy 3.39
Dy (0.2500, 0.2500, 0.2500)  4 Y 3.39, 4 Nd 3.39
Dy (0.2500, 0.7500, 0.7500)  4 Nd 3.39, 4 Y 3.39
Dy (0.7500, 0.2500, 0.7500)  4 Nd 3.39, 4 Y 3.39
Dy (0.7500, 0.7500, 0.2500)  4 Nd 3.39, 4 Y 3.39
Y (0.0000, 0.0000, 0.5000)  4 Tl 3.39, 4 Dy 3.39
Y (0.0000, 0.5000, 0.0000)  4 Tl 3.39, 4 Dy 3.39
Y (0.5000, 0.0000, 0.0000)  4 Tl 3.39, 4 Dy 3.39
Y (0.5000, 0.5000, 0.5000)  4 Tl 3.39, 4 Dy 3.39
Tl (0.2500, 0.2500, 0.7500)  4 Nd 3.39, 4 Y 3.39
Tl (0.2500, 0.7500, 0.2500)  4 Nd 3.39, 4 Y 3.39
Tl (0.7500, 0.2500, 0.2500)  4 Nd 3.39, 4 Y 3.39
Tl (0.7500, 0.7500, 0.7500)  4 Nd 3.39, 4 Y 3.39

energy of formation: -0.06 eV/atom
total moment: 0.345 μB per atom

***

Entry 7:
First-principles (PBE) data for a relaxed structure of NdDyYTl, as listed in Alexandria.

a b c (Å): 4.8564 4.8997 4.9718
angles (deg): 90.00 90.00 90.00
Last column: nearest neighbours and their distance in Å.
Fractional positions:
Nd (0.0000, 0.0000, 0.0000)  4 Dy 3.45, 4 Y 3.48, 4 Tl 3.49
Dy (0.5000, 0.5000, 0.0000)  4 Nd 3.45, 4 Tl 3.48, 4 Y 3.49
Y (0.5000, 0.0000, 0.5000)  4 Tl 3.45, 4 Nd 3.48, 4 Dy 3.49
Tl (0.0000, 0.5000, 0.5000)  4 Y 3.45, 4 Dy 3.48, 4 Nd 3.49

energy of formation: -0.19 eV/atom
total moment: 0.164 μB per atom

***

Entry 8:
First-principles (PBE) data for a relaxed structure of NdDy2Tl2Zn2, as listed in Alexandria.

a b c (Å): 9.5023 9.5023 9.5023
angles (deg): 29.19 29.19 29.19
Last column: nearest neighbours and their distance in Å.
Fractional positions:
Nd (0.0000, 0.0000, 0.0000)  6 Tl 3.34, 2 Dy 3.56, 6 Zn 3.68
Dy (0.1307, 0.1307, 0.1307)  3 Zn 2.99, 3 Tl 3.24
Dy (0.8693, 0.8693, 0.8693)  3 Zn 2.99, 3 Tl 3.24
Tl (0.2644, 0.2644, 0.2644)  3 Zn 2.82
Tl (0.7356, 0.7356, 0.7356)  3 Zn 2.82
Zn (0.4225, 0.4225, 0.4225)  3 Tl 2.82, 3 Dy 2.99
Zn (0.5775, 0.5775, 0.5775)  3 Tl 2.82, 3 Dy 2.99

energy of formation: -0.18 eV/atom
total moment: 0.000 μB per atom

***

Entry 9:
First-principles (PBE) data for a relaxed structure of Nd4Dy4Tm3, as listed in Alexandria.

a b c (Å): 3.5256 5.6617 18.0937
angles (deg): 98.99 95.58 90.00
Last column: nearest neighbours and their distance in Å.
Fractional positions:
Nd (0.0899, 0.0904, 0.1804)  3 Dy 3.20-3.25, 2 Nd 3.53
Nd (0.2317, 0.7317, 0.4632)  4 Dy 3.37-3.60, 6 Nd 3.53-3.58
Nd (0.7683, 0.2683, 0.5368)  4 Dy 3.37-3.60, 6 Nd 3.53-3.58
Nd (0.9101, 0.9096, 0.8196)  3 Dy 3.20-3.25, 2 Nd 3.53
Dy (0.0450, 0.5456, 0.0907)  3 Dy 3.23-3.53, 2 Nd 3.25
Dy (0.1799, 0.1802, 0.3602)  3 Nd 3.20-3.37, 2 Dy 3.53
Dy (0.8201, 0.8198, 0.6398)  3 Nd 3.20-3.37, 2 Dy 3.53
Dy (0.9550, 0.4544, 0.9093)  3 Dy 3.23-3.53, 2 Nd 3.25
Tm (0.3651, 0.3644, 0.7294)  2 Tm 3.53, 6 Dy 3.65-3.70, 6 Nd 3.70-3.85
Tm (0.5000, 0.0000, 0.0000)  2 Tm 3.53, 4 Nd 3.66, 8 Dy 3.70-3.71
Tm (0.6349, 0.6356, 0.2706)  2 Tm 3.53, 6 Dy 3.65-3.70, 6 Nd 3.70-3.85

energy of formation: 0.06 eV/atom
total moment: 0.000 μB per atom

***

Entry 10:
First-principles (PBE) data for a relaxed structure of Nd4DyTm3, as listed in Alexandria.

a b c (Å): 5.0873 10.1738 10.1346
angles (deg): 90.00 90.00 90.00
Last column: nearest neighbours and their distance in Å.
Fractional positions:
Nd (0.2500, 0.9996, 0.1296)  3 Tm 3.59-3.60, 8 Nd 3.59-3.66, 1 Dy 3.60
Nd (0.2500, 0.2500, 0.8699)  4 Tm 3.59-3.60, 8 Nd 3.59-3.66
Nd (0.2500, 0.5004, 0.1296)  3 Tm 3.59-3.60, 8 Nd 3.59-3.66, 1 Dy 3.60
Nd (0.2500, 0.7500, 0.8703)  2 Dy 3.60, 8 Nd 3.60-3.66, 2 Tm 3.60
Nd (0.7500, 0.0004, 0.8704)  3 Tm 3.59-3.60, 8 Nd 3.59-3.66, 1 Dy 3.60
Nd (0.7500, 0.2500, 0.1297)  2 Dy 3.60, 8 Nd 3.60-3.66, 2 Tm 3.60
Nd (0.7500, 0.4996, 0.8704)  3 Tm 3.59-3.60, 8 Nd 3.59-3.66, 1 Dy 3.60
Nd (0.7500, 0.7500, 0.1301)  4 Tm 3.59-3.60, 8 Nd 3.59-3.66
Dy (0.2500, 0.2500, 0.3810)  8 Tm 3.50-3.60, 4 Nd 3.60
Dy (0.7500, 0.7500, 0.6190)  8 Tm 3.50-3.60, 4 Nd 3.60
Tm (0.2500, 0.0000, 0.6190)  3 Dy 3.50-3.60, 5 Tm 3.50-3.60, 4 Nd 3.60
Tm (0.2500, 0.5000, 0.6190)  3 Dy 3.50-3.60, 5 Tm 3.50-3.60, 4 Nd 3.60
Tm (0.2500, 0.7500, 0.3806)  2 Dy 3.51, 6 Tm 3.51-3.60, 4 Nd 3.59
Tm (0.7500, 0.0000, 0.3810)  3 Dy 3.50-3.60, 5 Tm 3.50-3.60, 4 Nd 3.60
Tm (0.7500, 0.2500, 0.6194)  2 Dy 3.51, 6 Tm 3.51-3.60, 4 Nd 3.59
Tm (0.7500, 0.5000, 0.3810)  3 Dy 3.50-3.60, 5 Tm 3.50-3.60, 4 Nd 3.60

energy of formation: 0.03 eV/atom
total moment: 0.000 μB per atom